(1)
{"formula": "Nd2Sm6DyHo3", "functional": "PBE", "state": "relaxed", "dft_energy_ev_per_atom": -4.667, "total_magnetization_mub_per_cell": 0.00, "delta_e_f_ev_per_atom": 0.0155, "lattice_angstrom": [[3.123, -5.408, 0.000], [3.123, 5.408, 0.000], [-2.077, 0.000, 11.745]], "species": ["Nd", "Nd", "Sm", "Sm", "Sm", "Sm", "Sm", "Sm", "Dy", "Ho", "Ho", "Ho"], "frac_coords": [[0.167, 0.833, 0.000], [0.833, 0.167, 0.000], [0.083, 0.416, 0.747], [0.252, 0.252, 0.253], [0.416, 0.083, 0.747], [0.584, 0.917, 0.253], [0.748, 0.748, 0.747], [0.917, 0.584, 0.253], [0.500, 0.500, 0.000], [0.000, 0.000, 0.500], [0.334, 0.666, 0.500], [0.666, 0.334, 0.500]]}


(2)
{"formula": "LaCu2Pb", "functional": "PBE", "state": "relaxed", "dft_energy_ev_per_atom": -4.254, "total_magnetization_mub_per_cell": 0.00, "delta_e_f_ev_per_atom": -0.0471, "lattice_angstrom": [[4.793, 0.000, 0.000], [0.000, 4.793, 0.000], [0.000, 0.000, 3.899]], "species": ["La", "Cu", "Cu", "Pb"], "frac_coords": [[0.000, 0.000, 0.000], [0.000, 0.500, 0.500], [0.500, 0.000, 0.500], [0.500, 0.500, 0.000]]}


(3)
{"formula": "TaCdHg2", "functional": "PBE", "state": "relaxed", "dft_energy_ev_per_atom": -2.915, "total_magnetization_mub_per_cell": 0.00, "delta_e_f_ev_per_atom": 0.4283, "lattice_angstrom": [[3.015, 0.000, 0.000], [0.000, 4.439, 0.000], [0.000, 0.000, 6.238]], "species": ["Ta", "Cd", "Hg", "Hg"], "frac_coords": [[0.000, 0.000, 0.000], [0.500, 0.500, 0.248], [0.000, 0.000, 0.497], [0.500, 0.500, 0.780]]}


(4)
{"formula": "CaAuCl2", "functional": "PBE", "state": "relaxed", "dft_energy_ev_per_atom": -3.330, "total_magnetization_mub_per_cell": 0.00, "relative_energy_kj_per_mol_atoms": 13.48, "e_form_raw_ev_per_atom": -1.0866, "lattice_angstrom": [[4.236, 0.000, 0.000], [0.000, 4.236, 0.000], [0.000, 0.000, 5.374]], "species": ["Ca", "Au", "Cl", "Cl"], "frac_coords": [[0.000, 0.000, 0.000], [0.500, 0.500, 0.707], [0.000, 0.000, 0.503], [0.500, 0.500, 0.194]]}


Question: Which formula does entry 1 have?
Answer: Nd2Sm6DyHo3